Entry 1:
PmThCu2, relaxed, DFT PBE; E above lowest polymorph = 52 meV per atom; space-group type = Fm-3m (225); ΔE_f = -0.34 eV/f.u.
1.0
0.000 3.571 3.571
3.571 0.000 3.571
3.571 3.571 0.000
Pm Th Cu
1 1 2
direct
0.000 0.000 0.000
0.500 0.500 0.500
0.250 0.250 0.250
0.750 0.750 0.750

Entry 2:
SmMg4Cd, relaxed, DFT PBE; E above lowest polymorph = 0 meV per atom; space-group type = Pmma (51); ΔE_f = -0.58 eV/f.u.
1.0
8.501 0.000 0.000
0.000 4.440 0.000
0.000 0.000 7.928
Sm Mg Cd
2 8 2
direct
0.250 0.000 0.127
0.750 0.000 0.873
0.000 0.000 0.500
0.048 0.500 0.814
0.250 0.500 0.445
0.452 0.500 0.814
0.500 0.000 0.500
0.548 0.500 0.186
0.750 0.500 0.555
0.952 0.500 0.186
0.250 0.000 0.728
0.750 0.000 0.272

Entry 3:
BePt2Rh, relaxed, DFT PBE; space-group type = Pm (6); ΔE_f = -1.00 eV/f.u.
1.0
2.763 0.000 0.000
0.000 3.724 0.000
-1.362 0.000 5.359
Be Pt Rh
1 2 1
direct
0.000 0.000 0.000
0.144 0.500 0.275
0.787 0.000 0.561
0.429 0.500 0.845

Entry 4:
BaFePdRh2, relaxed, DFT PBE; space-group type = P4/mmm (123); ΔE_f = 1.66 eV/f.u.
1.0
4.548 0.000 0.000
0.000 4.548 0.000
0.000 0.000 4.957
Ba Fe Pd Rh
1 1 1 2
direct
0.000 0.000 0.000
0.500 0.500 0.500
0.500 0.500 0.000
0.000 0.500 0.500
0.500 0.000 0.500

Entry 5:
LiTh2Co3Ge4, relaxed, DFT PBE; space-group type = P-4m2 (115); ΔE_f = -5.77 eV/f.u.
1.0
4.194 0.000 0.000
0.000 4.194 0.000
0.000 0.000 9.656
Li Th Co Ge
1 2 3 4
direct
0.000 0.000 0.000
0.000 0.500 0.749
0.500 0.000 0.251
0.000 0.500 0.378
0.500 0.000 0.622
0.500 0.500 0.000
0.000 0.000 0.500
0.000 0.500 0.133
0.500 0.000 0.867
0.500 0.500 0.500

Entry 6:
Na2LiCd4, relaxed, DFT PBE; E above lowest polymorph = 140 meV per atom; space-group type = Cmmm (65); ΔE_f = 0.05 eV/f.u.
1.0
2.949 -6.735 0.000
2.949 6.735 0.000
0.000 0.000 5.074
Na Li Cd
2 1 4
direct
0.142 0.858 0.000
0.858 0.142 0.000
0.500 0.500 0.500
0.288 0.712 0.500
0.392 0.608 0.000
0.608 0.392 0.000
0.712 0.288 0.500

no.,mass density (g/cm³)
1,9.2
2,4.0
3,15.1
4,8.2
5,9.2
6,4.1